Entry 1:
# Co2AgRu

Co2AgRu after structural relaxation (PBE, Alexandria via LeMat-Bulk).

For the energy above the most stable polymorph in this dataset, the calculation gives 74 meV/atom. As for the energy of formation from the pure elements: 0.398 eV/atom.

It has space group Cm (No. 8), with a = 9.1447 Å, b = 2.6470 Å, c = 4.6029 Å, α = 90.00°, β = 104.66° and γ = 90.00°. Symmetry generates all atoms from Co at (0.0000, 0.0000, 0.0000), Co at (0.2199, 0.5000, 0.2603), Ag at (0.2383, 0.0000, 0.7697) and Ru at (0.4664, 0.0000, 0.4528).

---

Entry 2:
# Co2AgRu

Co2AgRu after structural relaxation (PBE, Alexandria via LeMat-Bulk).

For the energy above the most stable polymorph in this dataset, the calculation gives 118 meV/atom. As for the energy of formation from the pure elements: 0.441 eV/atom.

It has space group C2/m (No. 12), with a = 8.7173 Å, b = 2.6579 Å, c = 4.8325 Å, α = 90.00°, β = 99.82° and γ = 90.00°. Symmetry generates all atoms from Co at (0.2427, 0.0000, 0.2125), Ag at (0.0000, 0.0000, 0.5000) and Ru at (0.0000, 0.5000, 0.0000).